DFT (PBE) results for an optimized crystal structure of LiTb4B3Pt12.

As for the density of states at the Fermi level: 0.51 states/eV per atom. The formation energy from the elements is -14.708 eV/f.u. For the calculated total energy, the calculation gives -255.33 eV per cell.

The structure belongs to space group Im-3m (No. 229); the cell edges are 8.741, 8.741 and 8.741 Å and the angles 90.00°, 90.00° and 90.00°. The distinct sites, in fractional coordinates, are Li at (0.000, 0.000, 0.000), Tb at (0.250, 0.250, 0.250), B at (0.000, 0.000, 0.500), Pt at (0.000, 0.000, 0.263) and Pt at (0.000, 0.250, 0.500).